[1]
A plane-wave DFT calculation with PBE was carried out for crystalline Y2FeHPt at its relaxed geometry.

```
data_Y2FeHPt
_chemical_formula_sum 'Y2 Fe1 H1 Pt1'
_cell_length_a 4.859
_cell_length_b 4.859
_cell_length_c 3.557
_cell_angle_alpha 90.00
_cell_angle_beta 90.00
_cell_angle_gamma 90.00
_space_group_name_H-M_alt 'P 4/m m m'
_space_group_IT_number 123
_space_group_name_Hall '-P 4 2'
loop_
_atom_site_label
_atom_site_fract_x
_atom_site_fract_y
_atom_site_fract_z
_atom_site_occupancy
Y1 0.000 0.500 0.000 1
Fe1 0.000 0.000 0.500 1
H1 0.000 0.000 0.000 1
Pt1 0.500 0.500 0.500 1
```

Computed properties:
crystal system: tetragonal


[2]
A plane-wave DFT calculation with PBE was carried out for crystalline SmPuN3 at its relaxed geometry.

```
data_SmPuN3
_chemical_formula_sum 'Sm2 Pu2 N6'
_cell_length_a 5.9074
_cell_length_b 5.9074
_cell_length_c 5.4871
_cell_angle_alpha 90.00
_cell_angle_beta 90.00
_cell_angle_gamma 120.00
_space_group_name_H-M_alt 'P 63 2 2'
_space_group_IT_number 182
_space_group_name_Hall 'P 6c 2c'
loop_
_atom_site_label
_atom_site_fract_x
_atom_site_fract_y
_atom_site_fract_z
_atom_site_occupancy
Sm1 0.3333 0.6667 0.2500 1
Pu1 0.0000 0.0000 0.2500 1
N1 0.0000 0.2863 0.5000 1
```

Computed properties:
ΔE_f (raw): -0.73 eV per atom
crystal system: hexagonal


[3]
A plane-wave DFT calculation with PBE was carried out for crystalline TaInRh2 at its relaxed geometry.

```
data_TaInRh2
_chemical_formula_sum 'Ta2 In2 Rh4'
_cell_length_a 6.044
_cell_length_b 7.301
_cell_length_c 2.980
_cell_angle_alpha 90.00
_cell_angle_beta 90.00
_cell_angle_gamma 90.00
_space_group_name_H-M_alt 'C m m m'
_space_group_IT_number 65
_space_group_name_Hall '-C 2 2'
loop_
_atom_site_label
_atom_site_fract_x
_atom_site_fract_y
_atom_site_fract_z
_atom_site_occupancy
Ta1 0.000 0.000 0.000 1
In1 0.000 0.500 0.000 1
Rh1 0.250 0.250 0.500 1
```

Computed properties:
DFT formation energy: -144.9 kJ/mol of formula units
crystal system: orthorhombic


[4]
A plane-wave DFT calculation with PBE was carried out for crystalline Tm2ZrGa9 at its relaxed geometry.

```
data_Tm2ZrGa9
_chemical_formula_sum 'Tm2 Zr1 Ga9'
_cell_length_a 4.193
_cell_length_b 4.193
_cell_length_c 12.659
_cell_angle_alpha 90.00
_cell_angle_beta 90.00
_cell_angle_gamma 90.00
_space_group_name_H-M_alt 'P 4/m m m'
_space_group_IT_number 123
_space_group_name_Hall '-P 4 2'
loop_
_atom_site_label
_atom_site_fract_x
_atom_site_fract_y
_atom_site_fract_z
_atom_site_occupancy
Tm1 0.000 0.000 0.172 1
Zr1 0.000 0.000 0.500 1
Ga1 0.000 0.500 0.000 1
Ga2 0.000 0.500 0.338 1
Ga3 0.500 0.500 0.166 1
Ga4 0.500 0.500 0.500 1
```

Computed properties:
DFT formation energy: -582.2 kJ/mol of formula units
crystal system: tetragonal


Computed total energy, in the same sequence as the records: -6.73; -9.54; -7.70; -4.23 eV/atom.
Computed volume, in the same sequence as the records: 84.0; 165.8; 131.5; 222.6 Å³ per cell.